No. 1
Here is an optimized crystal structure of MgNpSnIr from Alexandria via LeMat-Bulk. Energies are from PBE.

Values from the calculation:
Fermi-level density of states = 7.6 states/eV/f.u.
Formation enthalpy at 0 K = -0.125 eV/atom

Cell lengths 6.8343, 6.8343, 6.8343 Å; angles 90.00, 90.00, 90.00 degrees
With the nearest neighbours (Å) after each atom.
Space group F-43m (No. 216)
Unique sites:
Mg1 0.0000 0.0000 0.0000 [4 per cell]  4 Np 2.96, 4 Sn 2.96
Np1 0.2500 0.2500 0.2500 [4 per cell]  4 Ir 2.96, 4 Mg 2.96
Sn1 0.2500 0.2500 0.7500 [4 per cell]  4 Mg 2.96, 4 Ir 2.96
Ir1 0.0000 0.0000 0.5000 [4 per cell]  4 Sn 2.96, 4 Np 2.96

***

No. 2
Here is an optimized crystal structure of Zr2Co3Pt from Alexandria via LeMat-Bulk. Energies are from PBE.

Values from the calculation:
Fermi-level density of states = 7.2 states/eV/f.u.
Formation enthalpy at 0 K = -0.476 eV/atom

Cell lengths 4.9527, 4.9527, 12.5743 Å; angles 90.00, 90.00, 120.00 degrees
With the nearest neighbours (Å) after each atom.
Space group R-3m (No. 166, hexagonal axes)
Unique sites:
Zr1 0.0000 0.0000 0.1204 [6 per cell]  9 Co 2.90-3.04, 3 Pt 2.92, 4 Zr 3.03-3.09
Co1 0.0000 0.5000 0.0000 [9 per cell]  4 Co 2.48, 2 Pt 2.54
Pt1 0.0000 0.0000 0.5000 [3 per cell]  6 Co 2.54

***

No. 3
Here is an optimized crystal structure of BePd3I from Alexandria via LeMat-Bulk. Energies are from PBE.

Values from the calculation:
Formation energy (no corrections) = 1.034 eV per atom
Fermi-level density of states = 4.4 states/eV/f.u.
Offset from the most stable computed form = 4.93 eV per formula unit

Cell lengths 4.9753, 4.9753, 4.9753 Å; angles 90.00, 90.00, 90.00 degrees
With the nearest neighbours (Å) after each atom.
Space group Pm-3m (No. 221)
Unique sites:
Be1 0.0000 0.0000 0.0000 [1 per cell]  12 Pd 3.52
Pd1 0.0000 0.5000 0.5000 [3 per cell]  2 I 2.49
I1 0.5000 0.5000 0.5000 [1 per cell]  6 Pd 2.49

***

No. 4
Here is an optimized crystal structure of LiCrTcAs from Alexandria via LeMat-Bulk. Energies are from PBE.

Values from the calculation:
Fermi-level density of states = 2.2 states/eV/f.u.
Formation enthalpy at 0 K = -0.087 eV/atom

Cell lengths 5.9517, 5.9517, 5.9517 Å; angles 90.00, 90.00, 90.00 degrees
With the nearest neighbours (Å) after each atom.
Space group F-43m (No. 216)
Unique sites:
Li1 0.0000 0.0000 0.0000 [4 per cell]  4 Cr 2.58, 4 As 2.58
Cr1 0.2500 0.2500 0.2500 [4 per cell]  4 Tc 2.58, 4 Li 2.58
Tc1 0.0000 0.0000 0.5000 [4 per cell]  4 Cr 2.58, 4 As 2.58
As1 0.2500 0.2500 0.7500 [4 per cell]  4 Li 2.58, 4 Tc 2.58

***

No. 5
Here is an optimized crystal structure of GdWC2 from Alexandria via LeMat-Bulk. Energies are from PBE.

Values from the calculation:
Fermi-level density of states = 1.3 states/eV/f.u.
Offset from the most stable computed form = 0.00 eV per formula unit
Formation enthalpy at 0 K = -0.243 eV/atom

Cell lengths 5.7577, 3.4224, 10.8506 Å; angles 90.00, 90.00, 90.00 degrees
With the nearest neighbours (Å) after each atom.
Space group Pnma (No. 62)
Unique sites:
Gd1 0.0848 0.2500 0.1377 [4 per cell]  7 C 2.48-2.66
W1 0.0936 0.7500 0.3899 [4 per cell]  5 C 2.06-2.27
C1 0.1603 0.2500 0.7524 [4 per cell]  2 W 2.06-2.13
C2 0.2182 0.2500 0.4816 [4 per cell]  3 W 2.11-2.27

***

No. 6
Here is an optimized crystal structure of ZrReW2 from Alexandria via LeMat-Bulk. Energies are from PBE.

Values from the calculation:
Fermi-level density of states = 1.1 states/eV/f.u.
Offset from the most stable computed form = 1.52 eV per formula unit
Formation enthalpy at 0 K = 0.325 eV/atom

Cell lengths 2.9306, 2.9306, 27.9796 Å; angles 90.00, 90.00, 120.00 degrees
With the nearest neighbours (Å) after each atom.
Space group R-3m (No. 166, hexagonal axes)
Unique sites:
Zr1 0.0000 0.0000 0.0000 [3 per cell]  6 Zr 2.93, 6 W 3.03
Re1 0.0000 0.0000 0.5000 [3 per cell]  6 W 2.74, 6 Re 2.93
W1 0.0000 0.0000 0.2436 [6 per cell]  3 Re 2.74, 6 W 2.93, 3 Zr 3.03